No. 1
AcYOs: optimized geometry, PBE. Values from VASP.

Calculated values
The formation enthalpy at 0 K is 0.782 eV/atom. As for the theoretical density: 10.1 Mg/m³.

```
&SYSTEM
  ibrav = 0, nat = 12, ntyp = 3
/
ATOMIC_SPECIES
Ac 227.00 Ac.upf
Y 88.91 Y.upf
Os 190.23 Os.upf
CELL_PARAMETERS angstrom
6.9348 0.0000 0.0000
0.0000 6.9348 0.0000
0.0000 0.0000 6.9348
ATOMIC_POSITIONS crystal
Ac 0.0000 0.0000 0.0000
Ac 0.0000 0.5000 0.5000
Ac 0.5000 0.0000 0.5000
Ac 0.5000 0.5000 0.0000
Y 0.2500 0.2500 0.2500
Y 0.2500 0.7500 0.7500
Y 0.7500 0.2500 0.7500
Y 0.7500 0.7500 0.2500
Os 0.0000 0.0000 0.5000
Os 0.0000 0.5000 0.0000
Os 0.5000 0.0000 0.0000
Os 0.5000 0.5000 0.5000
```

***

No. 2
LaNd2Al3AgPd2: optimized geometry, PBE. Values from VASP.

Calculated values
As for the theoretical density: 7.0 Mg/m³. As for the total energy: -4.98 eV per atom.

```
&SYSTEM
  ibrav = 0, nat = 9, ntyp = 5
/
ATOMIC_SPECIES
La 138.91 La.upf
Nd 144.24 Nd.upf
Al 26.98 Al.upf
Ag 107.87 Ag.upf
Pd 106.42 Pd.upf
CELL_PARAMETERS angstrom
4.2806 0.0000 0.0000
0.0000 6.2912 3.6724
0.0000 -6.2912 3.6724
ATOMIC_POSITIONS crystal
La 0.0000 0.0000 0.0000
Nd 0.0000 0.4251 0.8472
Nd 0.0000 0.8472 0.4251
Al 0.5000 0.1879 0.4285
Al 0.5000 0.4285 0.1879
Al 0.5000 0.6582 0.6582
Ag 0.0000 0.4245 0.4245
Pd 0.5000 0.0919 0.7597
Pd 0.5000 0.7597 0.0919
```

***

No. 3
LuTlCoTc: optimized geometry, PBE. Values from VASP.

Calculated values
As for the theoretical density: 12.1 Mg/m³. As for the total energy: -5.68 eV per atom.

```
&SYSTEM
  ibrav = 0, nat = 16, ntyp = 4
/
ATOMIC_SPECIES
Lu 174.97 Lu.upf
Tl 204.38 Tl.upf
Co 58.93 Co.upf
Tc 98.00 Tc.upf
CELL_PARAMETERS angstrom
6.6537 0.0000 0.0000
0.0000 6.6537 0.0000
0.0000 0.0000 6.6537
ATOMIC_POSITIONS crystal
Lu 0.0000 0.0000 0.0000
Lu 0.0000 0.5000 0.5000
Lu 0.5000 0.0000 0.5000
Lu 0.5000 0.5000 0.0000
Tl 0.2500 0.2500 0.2500
Tl 0.2500 0.7500 0.7500
Tl 0.7500 0.2500 0.7500
Tl 0.7500 0.7500 0.2500
Co 0.0000 0.0000 0.5000
Co 0.0000 0.5000 0.0000
Co 0.5000 0.0000 0.0000
Co 0.5000 0.5000 0.5000
Tc 0.2500 0.2500 0.7500
Tc 0.2500 0.7500 0.2500
Tc 0.7500 0.2500 0.2500
Tc 0.7500 0.7500 0.7500
```

***

No. 4
Er3CuTe5: optimized geometry, PBE. Values from VASP.

Calculated values
As for the theoretical density: 7.6 Mg/m³. As for the total energy: -4.51 eV per atom.

```
&SYSTEM
  ibrav = 0, nat = 9, ntyp = 3
/
ATOMIC_SPECIES
Er 167.26 Er.upf
Cu 63.55 Cu.upf
Te 127.60 Te.upf
CELL_PARAMETERS angstrom
8.6606 0.0000 0.0000
-4.3303 7.5003 0.0000
0.0000 0.0000 4.0557
ATOMIC_POSITIONS crystal
Er 0.0000 0.2770 0.0000
Er 0.2770 0.0000 0.0000
Er 0.7230 0.7230 0.0000
Cu 0.0000 0.0000 0.5000
Te 0.0000 0.7120 0.5000
Te 0.2880 0.2880 0.5000
Te 0.3333 0.6667 0.0000
Te 0.6667 0.3333 0.0000
Te 0.7120 0.0000 0.5000
```

***

No. 5
SrNdTeAuS2: optimized geometry, PBE. Values from VASP.

Calculated values
As for the theoretical density: 6.1 Mg/m³. As for the total energy: -4.93 eV per atom.

```
&SYSTEM
  ibrav = 0, nat = 12, ntyp = 5
/
ATOMIC_SPECIES
Sr 87.62 Sr.upf
Nd 144.24 Nd.upf
Te 127.60 Te.upf
Au 196.97 Au.upf
S 32.06 S.upf
CELL_PARAMETERS angstrom
2.0651 -7.3029 0.0000
2.0651 7.3029 0.0000
0.0000 0.0000 11.2395
ATOMIC_POSITIONS crystal
Sr 0.2070 0.7930 0.7500
Sr 0.7930 0.2070 0.2500
Nd 0.0000 0.0000 0.0000
Nd 0.0000 0.0000 0.5000
Te 0.1116 0.8884 0.2500
Te 0.8884 0.1116 0.7500
Au 0.4827 0.5173 0.2500
Au 0.5173 0.4827 0.7500
S 0.3745 0.6255 0.0742
S 0.3745 0.6255 0.4258
S 0.6255 0.3745 0.5742
S 0.6255 0.3745 0.9258
```

***

No. 6
ZrAgSn2: optimized geometry, PBE. Values from VASP.

Calculated values
As for the theoretical density: 8.3 Mg/m³. As for the total energy: -5.15 eV per atom.

```
&SYSTEM
  ibrav = 0, nat = 8, ntyp = 3
/
ATOMIC_SPECIES
Zr 91.22 Zr.upf
Ag 107.87 Ag.upf
Sn 118.71 Sn.upf
CELL_PARAMETERS angstrom
4.2074 0.0000 0.0000
0.0000 4.2074 0.0000
0.0000 0.0000 9.8477
ATOMIC_POSITIONS crystal
Zr 0.2500 0.2500 0.2352
Zr 0.7500 0.7500 0.7648
Ag 0.2500 0.7500 0.5000
Ag 0.7500 0.2500 0.5000
Sn 0.2500 0.2500 0.6999
Sn 0.2500 0.7500 0.0000
Sn 0.7500 0.2500 0.0000
Sn 0.7500 0.7500 0.3001
```

***

No. 7
SmYAu4: optimized geometry, PBE. Values from VASP.

Calculated values
The formation enthalpy at 0 K is -0.761 eV/atom. As for the theoretical density: 13.0 Mg/m³.

```
&SYSTEM
  ibrav = 0, nat = 12, ntyp = 3
/
ATOMIC_SPECIES
Sm 150.36 Sm.upf
Y 88.91 Y.upf
Au 196.97 Au.upf
CELL_PARAMETERS angstrom
4.6288 0.0000 0.0000
0.0000 6.8943 0.0000
0.0000 0.0000 8.2211
ATOMIC_POSITIONS crystal
Sm 0.0000 0.0000 0.0000
Sm 0.5000 0.5000 0.5000
Y 0.0000 0.5000 0.9187
Y 0.5000 0.0000 0.4187
Au 0.0000 0.2153 0.6221
Au 0.0000 0.2817 0.2962
Au 0.0000 0.7183 0.2962
Au 0.0000 0.7847 0.6221
Au 0.5000 0.2183 0.7962
Au 0.5000 0.2847 0.1221
Au 0.5000 0.7153 0.1221
Au 0.5000 0.7817 0.7962
```

***

No. 8
Li4Mg2NiPt: optimized geometry, PBE. Values from VASP.

Calculated values
As for the theoretical density: 4.7 Mg/m³. As for the total energy: -3.07 eV per atom.

```
&SYSTEM
  ibrav = 0, nat = 8, ntyp = 4
/
ATOMIC_SPECIES
Li 6.94 Li.upf
Mg 24.30 Mg.upf
Ni 58.69 Ni.upf
Pt 195.08 Pt.upf
CELL_PARAMETERS angstrom
4.3578 0.0000 0.0000
0.0000 4.3578 0.0000
0.0000 0.0000 6.1656
ATOMIC_POSITIONS crystal
Li 0.0000 0.0000 0.0000
Li 0.0000 0.5000 0.2489
Li 0.5000 0.0000 0.7511
Li 0.5000 0.5000 0.5000
Mg 0.0000 0.5000 0.7544
Mg 0.5000 0.0000 0.2456
Ni 0.5000 0.5000 0.0000
Pt 0.0000 0.0000 0.5000
```

***

No. 9
Cs2CuBiF6: optimized geometry, PBE. Values from VASP.

Calculated values
As for the theoretical density: 6.3 Mg/m³. As for the total energy: -4.29 eV per atom.

```
&SYSTEM
  ibrav = 0, nat = 10, ntyp = 4
/
ATOMIC_SPECIES
Cs 132.91 Cs.upf
Cu 63.55 Cu.upf
Bi 208.98 Bi.upf
F 19.00 F.upf
CELL_PARAMETERS angstrom
0.0000 4.4026 4.4026
4.4026 0.0000 4.4026
4.4026 4.4026 0.0000
ATOMIC_POSITIONS crystal
Cs 0.2500 0.2500 0.2500
Cs 0.7500 0.7500 0.7500
Cu 0.0000 0.0000 0.0000
Bi 0.5000 0.5000 0.5000
F 0.2415 0.2415 0.7585
F 0.2415 0.7585 0.2415
F 0.2415 0.7585 0.7585
F 0.7585 0.2415 0.2415
F 0.7585 0.2415 0.7585
F 0.7585 0.7585 0.2415
```

***

No. 10
LuNbSn2Pd2: optimized geometry, PBE. Values from VASP.

Calculated values
As for the theoretical density: 9.3 Mg/m³. As for the total energy: -6.11 eV per atom.

```
&SYSTEM
  ibrav = 0, nat = 12, ntyp = 4
/
ATOMIC_SPECIES
Lu 174.97 Lu.upf
Nb 92.91 Nb.upf
Sn 118.71 Sn.upf
Pd 106.42 Pd.upf
CELL_PARAMETERS angstrom
4.4805 0.0000 0.0000
0.0000 8.9960 0.0000
0.0000 0.0000 6.3709
ATOMIC_POSITIONS crystal
Lu 0.0000 0.1223 0.0000
Lu 0.5000 0.8777 0.5000
Nb 0.0000 0.6261 0.9992
Nb 0.5000 0.3739 0.4992
Sn 0.0000 0.1300 0.5063
Sn 0.0000 0.6217 0.4933
Sn 0.5000 0.3783 0.9933
Sn 0.5000 0.8700 0.0063
Pd 0.0000 0.3842 0.7450
Pd 0.0000 0.8636 0.7563
Pd 0.5000 0.1364 0.2563
Pd 0.5000 0.6158 0.2450
```

***

No. 11
Li4CdInPt2: optimized geometry, PBE. Values from VASP.

Calculated values
As for the theoretical density: 8.4 Mg/m³. As for the total energy: -3.44 eV per atom.

```
&SYSTEM
  ibrav = 0, nat = 8, ntyp = 4
/
ATOMIC_SPECIES
Li 6.94 Li.upf
Cd 112.41 Cd.upf
In 114.82 In.upf
Pt 195.08 Pt.upf
CELL_PARAMETERS angstrom
4.4817 0.0000 0.0000
0.0000 4.4817 0.0000
0.0000 0.0000 6.3325
ATOMIC_POSITIONS crystal
Li 0.0000 0.0000 0.0000
Li 0.0000 0.5000 0.7460
Li 0.5000 0.0000 0.2540
Li 0.5000 0.5000 0.5000
Cd 0.0000 0.0000 0.5000
In 0.5000 0.5000 0.0000
Pt 0.0000 0.5000 0.2415
Pt 0.5000 0.0000 0.7585
```

***

No. 12
Ho2H4CO7: optimized geometry, PBE. Values from VASP.

Calculated values
As for the theoretical density: 5.5 Mg/m³. As for the total energy: -6.84 eV per atom.

```
&SYSTEM
  ibrav = 0, nat = 56, ntyp = 4
/
ATOMIC_SPECIES
Ho 164.93 Ho.upf
H 1.01 H.upf
C 12.01 C.upf
O 16.00 O.upf
CELL_PARAMETERS angstrom
6.2078 0.0000 0.0000
0.0000 5.9362 0.0000
-1.8101 0.0000 15.0807
ATOMIC_POSITIONS crystal
Ho 0.0808 0.2376 0.3178
Ho 0.0808 0.2624 0.8178
Ho 0.0916 0.2463 0.0654
Ho 0.0916 0.2537 0.5654
Ho 0.9084 0.7463 0.4346
Ho 0.9084 0.7537 0.9346
Ho 0.9192 0.7376 0.1822
Ho 0.9192 0.7624 0.6822
H 0.2747 0.6694 0.0779
H 0.2747 0.8306 0.5779
H 0.3188 0.5300 0.4451
H 0.3188 0.9700 0.9451
H 0.3281 0.5095 0.6971
H 0.3281 0.9905 0.1971
H 0.3314 0.5453 0.2106
H 0.3314 0.9547 0.7106
H 0.6686 0.0453 0.2894
H 0.6686 0.4547 0.7894
H 0.6719 0.0095 0.8029
H 0.6719 0.4905 0.3029
H 0.6812 0.0300 0.0549
H 0.6812 0.4700 0.5549
H 0.7253 0.1694 0.4221
H 0.7253 0.3306 0.9221
C 0.4024 0.5796 0.8827
C 0.4024 0.9204 0.3827
C 0.5976 0.0796 0.6173
C 0.5976 0.4204 0.1173
O 0.1220 0.6316 0.0584
O 0.1220 0.8684 0.5584
O 0.1737 0.0241 0.1895
O 0.1737 0.4759 0.6895
O 0.1791 0.0472 0.9465
O 0.1791 0.4528 0.4465
O 0.1939 0.6158 0.8727
O 0.1939 0.8842 0.3727
O 0.1945 0.5034 0.2329
O 0.1945 0.9966 0.7329
O 0.4619 0.1170 0.3561
O 0.4619 0.3830 0.8561
O 0.4667 0.2316 0.5840
O 0.4667 0.2684 0.0840
O 0.5333 0.7316 0.9160
O 0.5333 0.7684 0.4160
O 0.5381 0.6170 0.1439
O 0.5381 0.8830 0.6439
O 0.8055 0.0034 0.2671
O 0.8055 0.4966 0.7671
O 0.8061 0.1158 0.6273
O 0.8061 0.3842 0.1273
O 0.8209 0.5472 0.5535
O 0.8209 0.9528 0.0535
O 0.8263 0.5241 0.3105
O 0.8263 0.9759 0.8105
O 0.8780 0.1316 0.4416
O 0.8780 0.3684 0.9416
```

***

No. 13
YMgZnCo: optimized geometry, PBE. Values from VASP.

Calculated values
As for the theoretical density: 5.5 Mg/m³. As for the total energy: -4.00 eV per atom.

```
&SYSTEM
  ibrav = 0, nat = 16, ntyp = 4
/
ATOMIC_SPECIES
Y 88.91 Y.upf
Mg 24.30 Mg.upf
Zn 65.41 Zn.upf
Co 58.93 Co.upf
CELL_PARAMETERS angstrom
6.6079 0.0000 0.0000
0.0000 6.6079 0.0000
0.0000 0.0000 6.6079
ATOMIC_POSITIONS crystal
Y 0.0000 0.0000 0.0000
Y 0.0000 0.5000 0.5000
Y 0.5000 0.0000 0.5000
Y 0.5000 0.5000 0.0000
Mg 0.2500 0.2500 0.7500
Mg 0.2500 0.7500 0.2500
Mg 0.7500 0.2500 0.2500
Mg 0.7500 0.7500 0.7500
Zn 0.2500 0.2500 0.2500
Zn 0.2500 0.7500 0.7500
Zn 0.7500 0.2500 0.7500
Zn 0.7500 0.7500 0.2500
Co 0.0000 0.0000 0.5000
Co 0.0000 0.5000 0.0000
Co 0.5000 0.0000 0.0000
Co 0.5000 0.5000 0.5000
```

***

No. 14
YInFeOs: optimized geometry, PBE. Values from VASP.

Calculated values
As for the theoretical density: 10.3 Mg/m³. As for the total energy: -6.86 eV per atom.

```
&SYSTEM
  ibrav = 0, nat = 16, ntyp = 4
/
ATOMIC_SPECIES
Y 88.91 Y.upf
In 114.82 In.upf
Fe 55.84 Fe.upf
Os 190.23 Os.upf
CELL_PARAMETERS angstrom
6.6131 0.0000 0.0000
0.0000 6.6131 0.0000
0.0000 0.0000 6.6131
ATOMIC_POSITIONS crystal
Y 0.0000 0.0000 0.0000
Y 0.0000 0.5000 0.5000
Y 0.5000 0.0000 0.5000
Y 0.5000 0.5000 0.0000
In 0.2500 0.2500 0.2500
In 0.2500 0.7500 0.7500
In 0.7500 0.2500 0.7500
In 0.7500 0.7500 0.2500
Fe 0.0000 0.0000 0.5000
Fe 0.0000 0.5000 0.0000
Fe 0.5000 0.0000 0.0000
Fe 0.5000 0.5000 0.5000
Os 0.2500 0.2500 0.7500
Os 0.2500 0.7500 0.2500
Os 0.7500 0.2500 0.2500
Os 0.7500 0.7500 0.7500
```

***

No. 15
LiTmCuS3: optimized geometry, PBE. Values from VASP.

Calculated values
As for the theoretical density: 4.9 Mg/m³. As for the total energy: -4.91 eV per atom.

```
&SYSTEM
  ibrav = 0, nat = 12, ntyp = 4
/
ATOMIC_SPECIES
Li 6.94 Li.upf
Tm 168.93 Tm.upf
Cu 63.55 Cu.upf
S 32.06 S.upf
CELL_PARAMETERS angstrom
1.8594 -6.0408 0.0000
1.8594 6.0408 0.0000
0.0000 0.0000 10.2245
ATOMIC_POSITIONS crystal
Li 0.2331 0.7669 0.7500
Li 0.7669 0.2331 0.2500
Tm 0.0000 0.0000 0.0000
Tm 0.0000 0.0000 0.5000
Cu 0.4785 0.5215 0.2500
Cu 0.5215 0.4785 0.7500
S 0.0906 0.9094 0.2500
S 0.3570 0.6430 0.0791
S 0.3570 0.6430 0.4209
S 0.6430 0.3570 0.5791
S 0.6430 0.3570 0.9209
S 0.9094 0.0906 0.7500
```

***

No. 16
InCu2Sb: optimized geometry, PBE. Values from VASP.

Calculated values
As for the theoretical density: 8.2 Mg/m³. As for the total energy: -3.34 eV per atom.

```
&SYSTEM
  ibrav = 0, nat = 16, ntyp = 3
/
ATOMIC_SPECIES
In 114.82 In.upf
Cu 63.55 Cu.upf
Sb 121.76 Sb.upf
CELL_PARAMETERS angstrom
6.6649 0.0000 0.0000
0.0000 6.6649 0.0000
0.0000 0.0000 6.6649
ATOMIC_POSITIONS crystal
In 0.0000 0.0000 0.0000
In 0.0000 0.0000 0.5000
In 0.0000 0.5000 0.0000
In 0.5000 0.0000 0.0000
Cu 0.2438 0.2438 0.2438
Cu 0.2438 0.2438 0.7562
Cu 0.2438 0.7562 0.2438
Cu 0.2438 0.7562 0.7562
Cu 0.7562 0.2438 0.2438
Cu 0.7562 0.2438 0.7562
Cu 0.7562 0.7562 0.2438
Cu 0.7562 0.7562 0.7562
Sb 0.0000 0.5000 0.5000
Sb 0.5000 0.0000 0.5000
Sb 0.5000 0.5000 0.0000
Sb 0.5000 0.5000 0.5000
```

***

No. 17
GaOsPt2: optimized geometry, PBE. Values from VASP.

Calculated values
As for the theoretical density: 17.7 Mg/m³. As for the total energy: -6.47 eV per atom.

```
&SYSTEM
  ibrav = 0, nat = 16, ntyp = 3
/
ATOMIC_SPECIES
Ga 69.72 Ga.upf
Os 190.23 Os.upf
Pt 195.08 Pt.upf
CELL_PARAMETERS angstrom
6.2447 0.0000 0.0000
0.0000 6.2447 0.0000
0.0000 0.0000 6.2447
ATOMIC_POSITIONS crystal
Ga 0.0000 0.0000 0.0000
Ga 0.0000 0.5000 0.5000
Ga 0.5000 0.0000 0.5000
Ga 0.5000 0.5000 0.0000
Os 0.2500 0.2500 0.2500
Os 0.2500 0.7500 0.7500
Os 0.7500 0.2500 0.7500
Os 0.7500 0.7500 0.2500
Pt 0.0000 0.0000 0.5000
Pt 0.0000 0.5000 0.0000
Pt 0.2500 0.2500 0.7500
Pt 0.2500 0.7500 0.2500
Pt 0.5000 0.0000 0.0000
Pt 0.5000 0.5000 0.5000
Pt 0.7500 0.2500 0.2500
Pt 0.7500 0.7500 0.7500
```

***

No. 18
Li2CuNiAs2: optimized geometry, PBE. Values from VASP.

Calculated values
As for the theoretical density: 5.4 Mg/m³. As for the total energy: -4.17 eV per atom.

```
&SYSTEM
  ibrav = 0, nat = 6, ntyp = 4
/
ATOMIC_SPECIES
Li 6.94 Li.upf
Cu 63.55 Cu.upf
Ni 58.69 Ni.upf
As 74.92 As.upf
CELL_PARAMETERS angstrom
3.8008 0.0000 0.0000
0.0000 3.8008 0.0000
0.0000 0.0000 6.1036
ATOMIC_POSITIONS crystal
Li 0.0000 0.5000 0.1763
Li 0.5000 0.0000 0.8237
Cu 0.5000 0.5000 0.5000
Ni 0.0000 0.0000 0.5000
As 0.0000 0.5000 0.7475
As 0.5000 0.0000 0.2525
```

***

No. 19
YFeAgAs: optimized geometry, PBE. Values from VASP.

Calculated values
As for the theoretical density: 7.1 Mg/m³. As for the total energy: -5.71 eV per atom.

```
&SYSTEM
  ibrav = 0, nat = 16, ntyp = 4
/
ATOMIC_SPECIES
Y 88.91 Y.upf
Fe 55.84 Fe.upf
Ag 107.87 Ag.upf
As 74.92 As.upf
CELL_PARAMETERS angstrom
6.7277 0.0000 0.0000
0.0000 6.7277 0.0000
0.0000 0.0000 6.7277
ATOMIC_POSITIONS crystal
Y 0.0000 0.0000 0.0000
Y 0.0000 0.5000 0.5000
Y 0.5000 0.0000 0.5000
Y 0.5000 0.5000 0.0000
Fe 0.0000 0.0000 0.5000
Fe 0.0000 0.5000 0.0000
Fe 0.5000 0.0000 0.0000
Fe 0.5000 0.5000 0.5000
Ag 0.2500 0.2500 0.7500
Ag 0.2500 0.7500 0.2500
Ag 0.7500 0.2500 0.2500
Ag 0.7500 0.7500 0.7500
As 0.2500 0.2500 0.2500
As 0.2500 0.7500 0.7500
As 0.7500 0.2500 0.7500
As 0.7500 0.7500 0.2500
```

***

No. 20
TbEr2Cu4Sn4: optimized geometry, PBE. Values from VASP.

Calculated values
As for the theoretical density: 9.0 Mg/m³. As for the total energy: -4.56 eV per atom.

```
&SYSTEM
  ibrav = 0, nat = 11, ntyp = 4
/
ATOMIC_SPECIES
Tb 158.93 Tb.upf
Er 167.26 Er.upf
Cu 63.55 Cu.upf
Sn 118.71 Sn.upf
CELL_PARAMETERS angstrom
-2.2212 3.4795 7.3334
2.2212 -3.4795 7.3334
2.2212 3.4795 -7.3334
ATOMIC_POSITIONS crystal
Tb 0.0000 0.0000 0.0000
Er 0.3688 0.8688 0.5000
Er 0.6312 0.1312 0.5000
Cu 0.0179 0.3296 0.6882
Cu 0.3586 0.6704 0.6882
Cu 0.6414 0.3296 0.3118
Cu 0.9821 0.6704 0.3118
Sn 0.2169 0.2169 0.0000
Sn 0.2982 0.5000 0.7982
Sn 0.7018 0.5000 0.2018
Sn 0.7831 0.7831 0.0000
```